# Ca2DyPd9

A relaxed structure of Ca2DyPd9 (PBE, Alexandria via LeMat-Bulk).

```
Ca2DyPd9
1.0
4.1349 0.0000 0.0000
0.0000 4.1349 0.0000
0.0000 0.0000 12.3462
Ca Dy Pd
2 1 9
direct
0.0000 0.0000 0.1668
0.0000 0.0000 0.8332
0.0000 0.0000 0.5000
0.0000 0.5000 0.0000
0.0000 0.5000 0.3361
0.0000 0.5000 0.6639
0.5000 0.0000 0.0000
0.5000 0.0000 0.3361
0.5000 0.0000 0.6639
0.5000 0.5000 0.1672
0.5000 0.5000 0.5000
0.5000 0.5000 0.8328
```

Computed properties:
Magnetization ... 0.00 μB/atom
Calculated total energy ... -62.880 eV per cell
D(E_F) ... 0.817 states/eV/atom
ΔH_f (0 K) ... -0.63 eV per atom
Symmetry ... P4/mmm, No. 123